LiEr2Pt2 | PBE | relaxed

Summary:
Crystal system: orthorhombic
Calculated formation energy in eV per atom: -1.037
Spin magnetization in μB/atom: 0.00
Electronic total energy in eV/atom: -5.662

Cell lengths 4.226, 5.751, 8.296 Å; angles 90.00, 90.00, 90.00 degrees
Space group Immm (No. 71)
Inequivalent atoms, fractional coordinates:
Li 0.000 0.000 0.000 (multiplicity 2)
Er 0.000 0.500 0.200 (multiplicity 4)
Pt 0.000 0.241 0.500 (multiplicity 4)

Rb2HPtF6 | PBE | relaxed

Summary:
Crystal system: tetragonal
Spin magnetization in μB/atom: 0.10
Electronic total energy in eV/atom: -3.974

Cell lengths 6.237, 6.237, 8.886 Å; angles 90.00, 90.00, 90.00 degrees
Space group I4/mmm (No. 139)
Inequivalent atoms, fractional coordinates:
Rb 0.000 0.500 0.250 (multiplicity 4)
H 0.000 0.000 0.000 (multiplicity 2)
Pt 0.000 0.000 0.500 (multiplicity 2)
F 0.000 0.000 0.277 (multiplicity 4)
F 0.225 0.225 0.500 (multiplicity 8)

Pu2FeN | PBE | relaxed

Summary:
Crystal system: tetragonal
Spin magnetization in μB/atom: 2.16
Formation energy without anion corrections in eV/atom: -0.18
Electronic total energy in eV/atom: -11.544

Cell lengths 3.107, 3.107, 6.639 Å; angles 90.00, 90.00, 90.00 degrees
Space group P4/mmm (No. 123)
Inequivalent atoms, fractional coordinates:
Pu 0.000 0.000 0.218 (multiplicity 2)
Fe 0.500 0.500 0.500 (multiplicity 1)
N 0.500 0.500 0.000 (multiplicity 1)